No. 1
Material: Ce2HfS2N2
Method: DFT, PBE-GGA
State: optimized geometry

Cell: 4.2201 4.2201 14.3491 Å, 90.00 90.00 90.00°
Last column: nearest neighbours and their distance in Å.
Space group I4/mmm (No. 139)
Symmetry-distinct sites (fractional):
Ce (0.0000, 0.0000, 0.1167) [4 per cell]  4 N 2.69, 1 S 2.92
Hf (0.0000, 0.0000, 0.5000) [2 per cell]  4 N 2.11
S (0.0000, 0.0000, 0.3204) [4 per cell]  1 Hf 2.58
N (0.0000, 0.5000, 0.0000) [4 per cell]  2 Hf 2.11

- magnetic moment (μB/f.u.) = 2.0
- DFT total energy (eV per cell) = -118.22
- formation energy (no corrections) (eV per atom) = -1.769

***

No. 2
Material: MgTiReSe2
Method: DFT, PBE-GGA
State: optimized geometry

Cell: 4.9221 4.9221 4.7510 Å, 90.00 90.00 90.00°
Last column: nearest neighbours and their distance in Å.
Space group P4/mmm (No. 123)
Symmetry-distinct sites (fractional):
Mg (0.0000, 0.0000, 0.0000) [1 per cell]  8 Se 3.42, 4 Re 3.48
Ti (0.5000, 0.5000, 0.5000) [1 per cell]  2 Re 2.38, 4 Se 2.46
Re (0.5000, 0.5000, 0.0000) [1 per cell]  2 Ti 2.38
Se (0.0000, 0.5000, 0.5000) [2 per cell]  2 Ti 2.46

- magnetic moment (μB/f.u.) = 2.4
- DFT total energy (eV per cell) = -26.24
- formation energy (no corrections) (eV per atom) = 0.533

***

No. 3
Material: Al2Ir3W
Method: DFT, PBE-GGA
State: optimized geometry

Cell: 2.8826 2.8826 10.2730 Å, 90.00 90.00 90.00°
Last column: nearest neighbours and their distance in Å.
Space group P4/mmm (No. 123)
Symmetry-distinct sites (fractional):
Al (0.0000, 0.0000, 0.1558) [2 per cell]  8 Ir 2.59-2.63, 4 Al 2.88
Ir (0.5000, 0.5000, 0.0000) [1 per cell]  8 Al 2.59, 4 Ir 2.88
Ir (0.5000, 0.5000, 0.3177) [2 per cell]  4 Al 2.63, 4 W 2.77, 4 Ir 2.88
W (0.0000, 0.0000, 0.5000) [1 per cell]  8 Ir 2.77, 4 W 2.88

- magnetic moment (μB/f.u.) = 0.0
- DFT total energy (eV per cell) = -51.30
- ΔH_f (0 K) (eV per atom) = -0.7134

***

No. 4
Material: Hf3MgPd4
Method: DFT, PBE-GGA
State: optimized geometry

Cell: 5.5592 9.9930 5.3935 Å, 90.00 90.00 90.00°
Last column: nearest neighbours and their distance in Å.
Space group Imm2 (No. 44)
Symmetry-distinct sites (fractional):
Hf (0.0000, 0.0000, 0.0000) [2 per cell]  4 Pd 2.72-2.78, 2 Mg 2.90
Hf (0.0000, 0.2859, 0.7379) [4 per cell]  6 Pd 2.69-2.80, 1 Mg 3.01
Mg (0.0000, 0.5000, 0.3443) [2 per cell]  4 Pd 2.59-2.61
Pd (0.0000, 0.2482, 0.2326) [4 per cell]  1 Mg 2.59, 5 Hf 2.69-2.80
Pd (0.2443, 0.0000, 0.4379) [4 per cell]  1 Mg 2.61, 2 Pd 2.72-2.84, 3 Hf 2.72-2.79

- energy above the most stable polymorph in this dataset (meV per atom) = 318
- magnetic moment (μB/f.u.) = 0.0
- DFT total energy (eV per cell) = -109.83
- ΔH_f (0 K) (eV per atom) = -0.3364

***

No. 5
Material: RbPrIn6
Method: DFT, PBE-GGA
State: optimized geometry

Cell: 5.0772 6.9579 6.7901 Å, 90.00 90.00 90.00°
Last column: nearest neighbours and their distance in Å.
Space group Pmm2 (No. 25)
Symmetry-distinct sites (fractional):
Rb (0.0000, 0.0000, 0.0000) [1 per cell]  10 In 3.55-3.73
Pr (0.5000, 0.5000, 0.2303) [1 per cell]  10 In 3.40-3.64
In (0.0000, 0.2758, 0.4709) [2 per cell]  6 In 3.12-3.28, 2 Pr 3.40
In (0.0000, 0.5000, 0.8954) [1 per cell]  6 In 3.17-3.28, 2 Pr 3.41, 2 Rb 3.55
In (0.5000, 0.0000, 0.3740) [1 per cell]  6 In 3.15-3.25
In (0.5000, 0.2663, 0.7501) [2 per cell]  6 In 3.15-3.25

- magnetic moment (μB/f.u.) = 0.0
- DFT total energy (eV per cell) = -23.46
- ΔH_f (0 K) (eV per atom) = -0.1607

***

No. 6
Material: LaZnAs2
Method: DFT, PBE-GGA
State: optimized geometry

Cell: 3.9082 4.1802 6.1514 Å, 90.00 90.00 90.00°
Last column: nearest neighbours and their distance in Å.
Space group Pmmm (No. 47)
Symmetry-distinct sites (fractional):
La (0.0000, 0.0000, 0.0000) [1 per cell]  8 As 3.19
Zn (0.0000, 0.5000, 0.5000) [1 per cell]  4 As 2.56
As (0.5000, 0.5000, 0.2301) [2 per cell]  2 Zn 2.56, 1 As 2.83

- magnetic moment (μB/f.u.) = 0.0
- DFT total energy (eV per cell) = -18.11
- ΔH_f (0 K) (eV per atom) = -0.6513

***

No. 7
Material: TiV4Si3
Method: DFT, PBE-GGA
State: optimized geometry

Cell: 9.5393 9.5393 4.7218 Å, 90.00 90.00 90.00°
Last column: nearest neighbours and their distance in Å.
Space group I4/mcm (No. 140)
Symmetry-distinct sites (fractional):
Ti (0.0000, 0.5000, 0.2500) [4 per cell]  2 Ti 2.36, 4 Si 2.58
V (0.0721, 0.2208, 0.0000) [16 per cell]  6 Si 2.50-2.74, 3 V 2.73-2.79
Si (0.0000, 0.0000, 0.2500) [4 per cell]  2 Si 2.36, 8 V 2.51
Si (0.1703, 0.3297, 0.5000) [8 per cell]  8 V 2.50-2.74, 2 Ti 2.58

- magnetic moment (μB/f.u.) = 0.0
- DFT total energy (eV per cell) = -260.48
- formation energy (no corrections) (eV per atom) = -0.560

***

No. 8
Material: Sc2Co
Method: DFT, PBE-GGA
State: optimized geometry

Cell: 11.9928 11.9928 11.9928 Å, 90.00 90.00 90.00°
Last column: nearest neighbours and their distance in Å.
Space group Fd-3m (No. 227, origin choice 2)
Symmetry-distinct sites (fractional):
Sc (0.0000, 0.0000, 0.0000) [16 per cell]  6 Co 2.62
Sc (0.0622, 0.3750, 0.8750) [48 per cell]  4 Co 2.78-3.08, 2 Sc 3.09
Co (0.0381, 0.0381, 0.2119) [32 per cell]  6 Sc 2.62-2.78

- magnetic moment (μB/f.u.) = 0.0
- DFT total energy (eV per cell) = -654.70
- ΔH_f (0 K) (eV per atom) = -0.2301

***

No. 9
Material: La4Sb2SN2
Method: DFT, PBE-GGA
State: optimized geometry

Cell: 15.5583 4.3041 8.4032 Å, 90.00 115.52 90.00°
Last column: nearest neighbours and their distance in Å.
Space group C2/m (No. 12)
Symmetry-distinct sites (fractional):
La (0.0220, 0.0000, 0.2800) [4 per cell]  1 N 2.26
La (0.2201, 0.5000, 0.6430) [4 per cell]  3 N 2.33-2.46
Sb (0.1025, 0.5000, 0.0521) [4 per cell]  1 Sb 2.92
S (0.0000, 0.5000, 0.5000) [2 per cell]  6 La 2.95-3.10
N (0.1747, 0.0000, 0.4882) [4 per cell]  4 La 2.26-2.46

- magnetic moment (μB/f.u.) = 0.0
- DFT total energy (eV per cell) = -123.64
- formation energy (no corrections) (eV per atom) = -1.454

***

No. 10
Material: Pr2TmMnS5
Method: DFT, PBE-GGA
State: optimized geometry

Cell: 3.9336 16.5851 12.0240 Å, 90.00 90.00 90.00°
Last column: nearest neighbours and their distance in Å.
Space group Cmc2_1 (No. 36)
Symmetry-distinct sites (fractional):
Pr (0.0000, 0.1180, 0.0000) [4 per cell]  8 S 2.95-3.09
Pr (0.0000, 0.1233, 0.6479) [4 per cell]  7 S 2.93-3.12
Tm (0.0000, 0.1871, 0.3318) [4 per cell]  6 S 2.67-2.75
Mn (0.0000, 0.4484, 0.7388) [4 per cell]  4 S 2.29-2.42
S (0.0000, 0.0230, 0.3354) [4 per cell]  2 Mn 2.33
S (0.0000, 0.2999, 0.9872) [4 per cell]  2 Tm 2.72, 3 Pr 3.02-3.04
S (0.0000, 0.3106, 0.6721) [4 per cell]  1 Mn 2.42
S (0.0000, 0.3480, 0.3237) [4 per cell]  1 Tm 2.67, 4 Pr 2.93-2.95
S (0.0000, 0.4938, 0.0658) [4 per cell]  1 Mn 2.29

- magnetic moment (μB/f.u.) = 4.4
- DFT total energy (eV per cell) = -237.57
- formation energy (no corrections) (eV per atom) = -1.728

***

No. 11
Material: YBeMo2Au
Method: DFT, PBE-GGA
State: optimized geometry

Cell: 4.8036 4.8036 4.5851 Å, 90.00 90.00 90.00°
Last column: nearest neighbours and their distance in Å.
Space group P4/mmm (No. 123)
Symmetry-distinct sites (fractional):
Y (0.0000, 0.0000, 0.0000) [1 per cell]  2 Be 2.29, 4 Mo 2.40
Be (0.0000, 0.0000, 0.5000) [1 per cell]  2 Y 2.29
Mo (0.0000, 0.5000, 0.0000) [2 per cell]  2 Y 2.40
Au (0.5000, 0.5000, 0.5000) [1 per cell]  8 Mo 3.32, 4 Be 3.40

- magnetic moment (μB/f.u.) = 0.0
- DFT total energy (eV per cell) = -23.92
- ΔH_f (0 K) (eV per atom) = 2.2415

***

No. 12
Material: Ta2OsAu
Method: DFT, PBE-GGA
State: optimized geometry

Cell: 3.3515 3.3515 6.0964 Å, 90.00 90.00 90.00°
Last column: nearest neighbours and their distance in Å.
Space group P4mm (No. 99)
Symmetry-distinct sites (fractional):
Ta (0.0000, 0.0000, 0.0000) [1 per cell]  4 Os 2.70, 4 Ta 2.91, 1 Au 2.96
Ta (0.5000, 0.5000, 0.2758) [1 per cell]  4 Au 2.78, 4 Ta 2.91, 1 Os 2.97
Os (0.5000, 0.5000, 0.7893) [1 per cell]  5 Ta 2.70-2.97, 4 Au 2.90
Au (0.0000, 0.0000, 0.5149) [1 per cell]  5 Ta 2.78-2.96, 4 Os 2.90

- energy above the most stable polymorph in this dataset (meV per atom) = 116
- magnetic moment (μB/f.u.) = 0.0
- DFT total energy (eV per cell) = -38.32
- ΔH_f (0 K) (eV per atom) = -0.0273

***

> Among the records above, which one has the lowest DFT total energy?

Sc2Co

***

> What is the formula in the seventh record?

TiV4Si3